# Cu3Ag7

Cu3Ag7 after structural relaxation (PBE-GGA, the Open Quantum Materials Database).

a = 4.9256 Å, b = 4.9346 Å, c = 7.5070 Å
α = 108.74°, β = 102.66°, γ = 99.55°
Space group P1 (No. 1)
Asymmetric unit:
Cu: 0.0000 0.0000 0.0000 x1
Cu: 0.1090 0.1960 0.7151 x1
Cu: 0.7115 0.3948 0.9045 x1
Ag: 0.2065 0.3920 0.4063 x1
Ag: 0.2872 0.5808 0.0902 x1
Ag: 0.4139 0.8028 0.8120 x1
Ag: 0.5161 0.0085 0.5184 x1
Ag: 0.6043 0.1974 0.1985 x1
Ag: 0.8221 0.6042 0.6216 x1
Ag: 0.9044 0.7985 0.3006 x1

## Properties
- ΔH_f (0 K): 78 meV per atom